Entry 1:
NaThP2Pt4 (PBE, optimized geometry); electronic total energy = -6.15 eV per atom; space-group type = P4/mmm, No. 123; E_form = -0.69 eV per atom; calculated volume = 164.2 Å³/cell; D(E_F) = 5.24 states/eV/f.u.
1.0
4.076 0.000 0.000
0.000 4.076 0.000
0.000 0.000 9.887
Na Th P Pt
1 1 2 4
Direct
0.000 0.000 0.500
0.000 0.000 0.000
0.500 0.500 0.348
0.500 0.500 0.652
0.000 0.500 0.222
0.500 0.000 0.778
0.500 0.000 0.222
0.000 0.500 0.778



Entry 2:
Na2TlPPt (PBE, optimized geometry); electronic total energy = -3.54 eV per atom; space-group type = P4/mmm, No. 123; E_form = -0.24 eV per atom; calculated volume = 130.4 Å³/cell; excess energy over the best structure of this formula in the dataset = 0 meV/atom; D(E_F) = 1.89 states/eV/f.u.
1.0
5.441 0.000 0.000
0.000 5.441 0.000
0.000 0.000 4.405
P Tl Pt Na
1 1 1 2
Direct
0.000 0.000 0.000
0.500 0.500 0.500
0.000 0.000 0.500
0.000 0.500 0.000
0.500 0.000 0.000



Entry 3:
Na2TlPPt (PBE, optimized geometry); electronic total energy = -3.52 eV per atom; space-group type = P4/mmm, No. 123; E_form = -0.23 eV per atom; calculated volume = 135.1 Å³/cell; excess energy over the best structure of this formula in the dataset = 11 meV/atom; D(E_F) = 1.26 states/eV/f.u.
1.0
-3.092 3.975 2.295
-1.887 -3.623 3.733
3.336 1.039 2.695
P Tl Pt Na
1 1 1 2
Direct
0.000 0.000 0.500
0.500 0.500 0.500
0.000 0.000 0.000
0.000 0.500 0.000
0.500 0.000 0.000



Entry 4:
NaTl2P2Pt7 (PBE, optimized geometry); electronic total energy = -5.22 eV per atom; space-group type = C2/m, No. 12; E_form = -0.29 eV per atom; calculated volume = 223.7 Å³/cell; D(E_F) = 2.53 states/eV/f.u.
1.0
3.998 -0.001 0.177
0.004 3.998 0.177
2.595 2.592 14.220
Na Tl P Pt
1 2 2 7
Direct
0.000 0.000 0.000
0.677 0.677 0.394
0.323 0.323 0.606
0.692 0.692 0.761
0.308 0.308 0.239
0.500 0.500 0.000
0.159 0.159 0.404
0.841 0.841 0.596
0.878 0.378 0.151
0.378 0.878 0.151
0.622 0.122 0.849
0.122 0.622 0.849